First-principles (PBE-GGA) data for crystalline PmPr2Pt9 at its relaxed geometry, as listed in the Alexandria database.

POSCAR file:
```
PmPr2Pt9
1.0
5.476 0.000 0.000
2.738 4.743 0.000
2.738 1.581 8.961
Pt Pr Pm
9 2 1
Direct
0.081 0.586 0.748 Pt
0.919 0.414 0.252 Pt
0.333 0.333 0.001 Pt
0.414 0.414 0.252 Pt
0.414 0.919 0.252 Pt
0.586 0.081 0.748 Pt
0.586 0.586 0.748 Pt
0.500 0.500 0.500 Pt
0.667 0.667 0.999 Pt
0.861 0.861 0.417 Pr
0.139 0.139 0.583 Pr
0.000 0.000 0.000 Pm
```

Summary:
**Fermi-level density of states**: 10.03 states/eV per cell
**DFT total energy**: -6.6282 eV/atom
**Energy relative to the elements**: -10.86 eV/f.u.